# RbAlAs2O7

A PBEsol-optimized structure of RbAlAs2O7 (meta-GGA SCAN, the Alexandria database).

Computed properties:
DOS at the Fermi energy   0.00 states/eV/cell
Uncorrected formation energy   -1.9831 eV/atom

Cell: 6.276 6.373 8.281 Å, 96.68 104.24 102.57°
Fractional positions:
Rb: 0.000 0.000 0.000
Rb: 0.000 0.000 0.500
Al: 0.377 0.687 0.228
Al: 0.623 0.313 0.772
As: 0.175 0.471 0.814
As: 0.492 0.245 0.337
As: 0.508 0.755 0.663
As: 0.825 0.529 0.186
O: 0.095 0.681 0.274
O: 0.219 0.637 0.656
O: 0.223 0.649 0.993
O: 0.325 0.380 0.219
O: 0.335 0.289 0.815
O: 0.421 0.989 0.227
O: 0.464 0.255 0.535
O: 0.536 0.745 0.465
O: 0.579 0.011 0.773
O: 0.665 0.711 0.185
O: 0.675 0.620 0.781
O: 0.777 0.351 0.007
O: 0.781 0.363 0.344
O: 0.905 0.319 0.726

---

# CdP6Pb9O26

A PBEsol-optimized structure of CdP6Pb9O26 (meta-GGA SCAN, the Alexandria database).

Computed properties:
Uncorrected formation energy   -1.9498 eV/atom

Cell: 7.257 9.691 9.728 Å, 119.73 90.09 90.40°
Fractional positions:
Cd: 0.000 0.000 0.000
P: 0.257 0.039 0.301
P: 0.265 0.702 0.738
P: 0.273 0.270 0.957
P: 0.780 0.068 0.721
P: 0.789 0.299 0.350
P: 0.790 0.642 0.934
Pb: 0.036 0.340 0.656
Pb: 0.276 0.906 0.562
Pb: 0.287 0.449 0.340
Pb: 0.290 0.665 0.108
Pb: 0.494 0.999 0.997
Pb: 0.527 0.333 0.660
Pb: 0.776 0.896 0.325
Pb: 0.780 0.665 0.560
Pb: 0.801 0.420 0.077
O: 0.109 0.916 0.288
O: 0.116 0.721 0.634
O: 0.121 0.372 0.080
O: 0.206 0.115 0.199
O: 0.215 0.801 0.916
O: 0.228 0.091 0.890
O: 0.281 0.172 0.477
O: 0.283 0.313 0.824
O: 0.284 0.523 0.687
O: 0.341 0.677 0.342
O: 0.441 0.946 0.238
O: 0.450 0.769 0.714
O: 0.458 0.310 0.053
O: 0.595 0.044 0.635
O: 0.612 0.399 0.417
O: 0.619 0.574 0.980
O: 0.785 0.991 0.827
O: 0.790 0.574 0.753
O: 0.790 0.827 0.026
O: 0.795 0.170 0.397
O: 0.799 0.225 0.165
O: 0.801 0.613 0.293
O: 0.810 0.256 0.829
O: 0.935 0.010 0.597
O: 0.954 0.416 0.432
O: 0.957 0.573 0.980

---

# KTlSb3

A PBEsol-optimized structure of KTlSb3 (meta-GGA SCAN, the Alexandria database).

Computed properties:
DOS at the Fermi energy   4.68 states/eV/cell
Uncorrected formation energy   0.4644 eV/atom

Cell: 5.731 5.731 5.731 Å, 90.00 90.00 90.00°
Fractional positions:
K: 0.000 0.000 0.000
Tl: 0.500 0.500 0.500
Sb: 0.000 0.500 0.500
Sb: 0.500 0.000 0.500
Sb: 0.500 0.500 0.000

---

# ZrTeIrI2

A PBEsol-optimized structure of ZrTeIrI2 (meta-GGA SCAN, the Alexandria database).

Computed properties:
DOS at the Fermi energy   3.86 states/eV/cell
Uncorrected formation energy   0.5626 eV/atom

Cell: 5.204 5.204 5.210 Å, 90.00 90.00 90.00°
Fractional positions:
Zr: 0.000 0.000 0.000
Te: 0.500 0.500 0.000
Ir: 0.500 0.500 0.500
I: 0.000 0.500 0.500
I: 0.500 0.000 0.500

---

# Fe2SnMoPt

A PBEsol-optimized structure of Fe2SnMoPt (meta-GGA SCAN, the Alexandria database).

Computed properties:
DOS at the Fermi energy   4.42 states/eV/cell

Cell: 4.599 4.599 4.761 Å, 90.00 90.00 90.00°
Fractional positions:
Fe: 0.000 0.500 0.000
Fe: 0.500 0.000 0.000
Sn: 0.000 0.000 0.500
Mo: 0.500 0.500 0.500
Pt: 0.500 0.500 0.000

---

# SbTeOs2

A PBEsol-optimized structure of SbTeOs2 (meta-GGA SCAN, the Alexandria database).

Computed properties:
DOS at the Fermi energy   4.10 states/eV/cell
Uncorrected formation energy   1.2345 eV/atom
Polymorph energy (0 for the lowest one)   0.3553 eV per atom

Cell: 5.426 5.426 5.426 Å, 147.14 121.39 68.85°
Fractional positions:
Sb: 0.000 0.000 0.000
Te: 0.500 0.500 0.000
Os: 0.243 0.743 0.500
Os: 0.757 0.257 0.500

---

# Li2MgIn2

A PBEsol-optimized structure of Li2MgIn2 (meta-GGA SCAN, the Alexandria database).

Computed properties:
DOS at the Fermi energy   3.79 states/eV/cell

Cell: 7.838 7.838 3.315 Å, 90.00 90.00 90.00°
Fractional positions:
Li: 0.166 0.334 0.000
Li: 0.334 0.834 0.000
Li: 0.666 0.166 0.000
Li: 0.834 0.666 0.000
Mg: 0.000 0.000 0.500
Mg: 0.500 0.500 0.500
In: 0.134 0.634 0.500
In: 0.366 0.134 0.500
In: 0.634 0.866 0.500
In: 0.866 0.366 0.500

---

# AlHgPb2

A PBEsol-optimized structure of AlHgPb2 (meta-GGA SCAN, the Alexandria database).

Computed properties:
DOS at the Fermi energy   1.96 states/eV/cell
Polymorph energy (0 for the lowest one)   0.1277 eV per atom

Cell: 4.720 4.720 4.521 Å, 90.00 90.00 90.00°
Fractional positions:
Al: 0.000 0.000 0.000
Hg: 0.500 0.500 0.000
Pb: 0.000 0.500 0.500
Pb: 0.500 0.000 0.500

---

Number 1: VASP energy -268.609 eV per cell, V 14.01 Å³ per atom. Number 2: VASP energy -1018.739 eV per cell, V 14.15 Å³ per atom. Number 3: VASP energy -190.147 eV per cell, V 37.65 Å³ per atom. Number 4: VASP energy -209.719 eV per cell, V 28.21 Å³ per atom. Number 5: VASP energy -172.558 eV per cell, V 20.14 Å³ per atom. Number 6: VASP energy -213.334 eV per cell, V 18.24 Å³ per atom. Number 7: VASP energy -155.812 eV per cell, V 20.36 Å³ per atom. Number 8: VASP energy -226.664 eV per cell, V 25.18 Å³ per atom.